#a
A plane-wave DFT calculation with PBE-GGA was carried out for an optimized crystal structure of Li3TlRh.

Properties
For the density, the calculation gives 5.4 Mg/m³. Its crystal system is cubic.

The structure in extended XYZ format:
```
5
Lattice="4.667 0.000 0.000 0.000 4.667 0.000 0.000 0.000 4.667" Properties=species:S:1:pos:R:3 pbc="T T T"
Li 0.000 0.000 2.333
Li 0.000 2.333 0.000
Li 2.333 0.000 0.000
Tl 2.333 2.333 2.333
Rh 0.000 0.000 0.000
```

---

#b
A plane-wave DFT calculation with PBE-GGA was carried out for an optimized crystal structure of Li3TlRh.

Properties
For the density, the calculation gives 6.7 Mg/m³. Its crystal system is monoclinic.

The structure in extended XYZ format:
```
20
Lattice="6.959 0.000 0.000 0.000 5.815 0.000 -5.027 0.000 8.087" Properties=species:S:1:pos:R:3 pbc="T T T"
Li -1.154 0.690 1.980
Li -3.667 2.218 6.023
Li 1.009 3.692 0.349
Li -1.505 5.031 4.392
Li -1.389 3.669 6.785
Li 1.124 5.054 2.742
Li 0.808 0.761 5.345
Li 3.321 2.147 1.302
Li 3.436 0.784 3.695
Li 0.923 2.124 7.738
Li 5.599 3.598 2.064
Li 3.086 5.126 6.107
Tl -1.527 0.828 6.781
Tl 0.986 2.080 2.738
Tl 0.946 3.736 5.349
Tl 3.459 4.987 1.306
Rh 1.155 0.656 0.314
Rh -1.359 2.252 4.358
Rh 3.291 3.563 3.729
Rh 0.777 5.160 7.773
```

---

#c
A plane-wave DFT calculation with PBE-GGA was carried out for an optimized crystal structure of Li3TlRh.

Properties
For the density, the calculation gives 6.0 Mg/m³. Its crystal system is monoclinic.

The structure in extended XYZ format:
```
10
Lattice="4.437 0.000 0.000 0.000 7.455 0.000 -0.002 0.000 5.478" Properties=species:S:1:pos:R:3 pbc="T T T"
Li 1.106 0.482 1.811
Li 1.105 1.864 4.066
Li 1.106 3.245 1.811
Li 3.329 4.210 3.667
Li 3.330 5.591 1.412
Li 3.329 6.973 3.667
Tl 1.110 5.591 5.318
Tl 3.325 1.864 0.161
Rh 1.111 5.591 2.651
Rh 3.324 1.864 2.827
```

---

Tell me which of them is the most stable. Sure, it is #b.